The following is a DFT calculation (PBE+U) of crystalline RbLiCrO2 at its relaxed geometry.

POSCAR file:
```
RbLiCrO2
1.0
4.361 0.000 0.000
0.000 6.162 0.000
0.000 -3.081 6.448
Rb Li Cr O
2 2 2 4
direct
0.221 0.750 0.500
0.779 0.250 0.500
0.000 0.000 0.000
0.000 0.500 0.000
0.500 0.750 0.000
0.500 0.250 0.000
0.658 0.908 0.816
0.658 0.592 0.184
0.342 0.408 0.816
0.342 0.092 0.184
```

mass density: 3.38 Mg/m³
electronic total energy: -5.39 eV/atom
symmetry: No. 67
M_tot: 4.0 μB/f.u.